[1]
Computed, not measured: a relaxed structure of AgSn3B at the GGA-PBEsol level of DFT.

Unit cell a=5.218 b=5.218 c=5.218 alpha=90.00 beta=90.00 gamma=90.00
Space group Pm-3m (No. 221)
Unique sites:
1 Ag 0.000 0.000 0.000 x1
2 Sn 0.000 0.000 0.500 x3
3 B 0.500 0.500 0.500 x1

Computed properties:
Formation energy from the elements = 31.57 kcal/mol of atoms


[2]
Computed, not measured: a relaxed structure of ScMo2P at the GGA-PBEsol level of DFT.

Unit cell a=3.285 b=4.708 c=8.113 alpha=90.00 beta=90.00 gamma=90.00
Space group Cmm2 (No. 35)
Unique sites:
1 Sc 0.000 0.000 0.000 x2
2 Mo 0.000 0.000 0.463 x2
3 Mo 0.000 0.500 0.718 x2
4 P 0.000 0.500 0.240 x2

Computed properties:
Formation energy from the elements = -3.11 kcal/mol of atoms


[3]
Computed, not measured: a relaxed structure of Ta2NbOs at the GGA-PBEsol level of DFT.

Unit cell a=6.399 b=6.399 c=6.399 alpha=90.00 beta=90.00 gamma=90.00
Space group Fm-3m (No. 225)
Unique sites:
1 Ta 0.250 0.250 0.250 x8
2 Nb 0.000 0.000 0.000 x4
3 Os 0.000 0.000 0.500 x4

Computed properties:
Formation energy from the elements = -7.31 kcal/mol of atoms


[4]
Computed, not measured: a relaxed structure of Tl2InPt at the GGA-PBEsol level of DFT.

Unit cell a=3.7430 b=3.7430 c=24.4669 alpha=90.00 beta=90.00 gamma=120.00
Space group R3m (No. 160, hexagonal axes)
Unique sites:
1 Tl 0.0000 0.0000 0.0000 x3
2 Tl 0.0000 0.0000 0.2323 x3
3 In 0.0000 0.0000 0.4681 x3
4 Pt 0.0000 0.0000 0.7378 x3

Computed properties:
Formation energy from the elements = -1.00 kcal/mol of atoms


[5]
Computed, not measured: a relaxed structure of CdRe2Ag at the GGA-PBEsol level of DFT.

Unit cell a=4.116 b=4.116 c=7.444 alpha=90.00 beta=90.00 gamma=90.00
Space group I-4m2 (No. 119)
Unique sites:
1 Cd 0.000 0.000 0.000 x2
2 Re 0.000 0.000 0.500 x2
3 Re 0.000 0.500 0.250 x2
4 Ag 0.000 0.500 0.750 x2

Computed properties:
Formation energy from the elements = 15.96 kcal/mol of atoms


[6]
Computed, not measured: a relaxed structure of Sr2NiO3F at the GGA-PBEsol level of DFT.

Unit cell a=3.718 b=3.718 c=13.085 alpha=90.00 beta=90.00 gamma=90.00
Space group I4mm (No. 107)
Unique sites:
1 Sr 0.000 0.000 0.000 x2
2 Sr 0.000 0.000 0.273 x2
3 Ni 0.000 0.000 0.658 x2
4 O 0.000 0.000 0.806 x2
5 O 0.000 0.500 0.132 x4
6 F 0.000 0.000 0.459 x2

Computed properties:
Formation energy (no corrections) = -2.361 eV per atom


One value per record, in order, for theoretical density: 5.548 7.089 16.352 12.060 15.607 5.524 g cm⁻³.